## CsBiSCl2 (GGA-PBE)

Data for CsBiSCl2 after structural relaxation.

Cell and atoms, written as POSCAR:
```
CsBiSCl2
1.0
5.6355 0.0000 0.0000
0.0000 5.6355 0.0000
0.0000 0.0000 5.3505
S Cs Cl Bi
1 1 2 1
Direct
0.0000 0.0000 0.5000 S
0.5000 0.5000 0.5000 Cs
0.5000 0.0000 0.0000 Cl
0.0000 0.5000 0.0000 Cl
0.0000 0.0000 0.0000 Bi
```

Calculated values
ΔE_f (raw) (eV per atom): -1.061
Crystal system: tetragonal
Space group: No. 123
Fermi-level density of states (states/eV/f.u.): 0.98
ΔE to the lowest computed polymorph (meV per atom): 0
E_tot (eV/atom): -3.5718